This record from Alexandria via LeMat-Bulk describes an optimized crystal structure of Ba2ZrSc. The functional is PBE.

Calculated values
Electronic total energy   -17.0 eV per cell
Magnetization   0.00 μB per formula unit

```
4
Lattice="12.4829 -0.0029 -0.0017 11.9496 3.6094 -0.0017 11.9496 1.7639 3.1491" Properties=species:S:1:pos:R:3 pbc="T T T"
Ba 0.4089 0.0604 0.0354
Ba 8.7604 1.2931 0.7574
Sc 17.7798 2.6245 1.5373
Zr 27.6241 4.0777 2.3884
```